VASP calculation (PBE) on crystalline TmPuH4 at its relaxed geometry. Values from VASP.

```
&SYSTEM
  ibrav = 0, nat = 6, ntyp = 3
/
ATOMIC_SPECIES
Tm 168.93 Tm.upf
Pu 244.00 Pu.upf
H 1.01 H.upf
CELL_PARAMETERS angstrom
3.637 0.000 0.000
0.000 3.637 0.000
0.000 0.000 5.242
ATOMIC_POSITIONS crystal
Tm 0.000 0.000 0.000
Pu 0.500 0.500 0.500
H 0.000 0.500 0.237
H 0.000 0.500 0.763
H 0.500 0.000 0.237
H 0.500 0.000 0.763
```

! Pr3TlGe (PBE, optimized geometry); values from VASP
&SYSTEM
  ibrav = 0, nat = 10, ntyp = 3
/
ATOMIC_SPECIES
Pr 140.91 Pr.upf
Tl 204.38 Tl.upf
Ge 72.64 Ge.upf
CELL_PARAMETERS angstrom
3.573 -4.956 0.000
3.573 4.956 0.000
-3.573 0.000 8.448
ATOMIC_POSITIONS crystal
Pr 0.088 0.706 0.791
Pr 0.294 0.912 0.209
Pr 0.310 0.310 0.619
Pr 0.690 0.690 0.381
Pr 0.706 0.088 0.791
Pr 0.912 0.294 0.209
Tl 0.294 0.294 0.000
Tl 0.706 0.706 0.000
Ge 0.250 0.750 0.500
Ge 0.750 0.250 0.500
! energy relative to the elements = -0.462 eV per atom

What are the calculated total energy values for these records? In order: -35.4 -47.3 eV/cell.